[1]
Computed, not measured: Fe2Pd after structural relaxation at the PBE level of DFT.

a b c (Å): 6.773 6.773 6.773
angles (deg): 90.00 90.00 90.00
Space group Fd-3m (No. 227, origin choice 2)
Asymmetric unit:
Fe 0.000 0.000 0.000 [16 per cell]
Pd 0.125 0.125 0.625 [8 per cell]

Properties
- Calculated volume: 310.7 Å³ per cell
- ΔE_f: 8 meV/atom

***

[2]
Computed, not measured: Fe3Pd after structural relaxation at the PBE level of DFT.

a b c (Å): 3.739 3.739 3.739
angles (deg): 90.00 90.00 90.00
Space group Pm-3m (No. 221)
Asymmetric unit:
Fe 0.000 0.000 0.500 [3 per cell]
Pd 0.500 0.500 0.500 [1 per cell]

Properties
- Calculated volume: 52.3 Å³ per cell
- ΔE_f: 72 meV/atom

***

[3]
Computed, not measured: Fe4Pd5 after structural relaxation at the PBE level of DFT.

a b c (Å): 7.5089 7.5089 5.2850
angles (deg): 90.00 90.00 120.00
Space group P6_3/mcm (No. 193)
Asymmetric unit:
Fe 0.0000 0.0000 0.0000 [2 per cell]
Fe 0.0000 0.3303 0.2500 [6 per cell]
Pd 0.0000 0.3286 0.7500 [6 per cell]
Pd 0.3333 0.6667 0.0000 [4 per cell]

Properties
- Energy above the most stable polymorph in this dataset: 0.42 eV per formula unit
- Calculated volume: 258.1 Å³ per cell
- ΔE_f: 5 meV/atom

***

[4]
Computed, not measured: Fe2Pd3 after structural relaxation at the PBE level of DFT.

a b c (Å): 5.2429 5.2429 9.8057
angles (deg): 90.00 90.00 120.00
Space group R-3m (No. 166, hexagonal axes)
Asymmetric unit:
Fe 0.0000 0.0000 0.1166 [6 per cell]
Pd 0.0000 0.5000 0.0000 [9 per cell]

Properties
- Calculated volume: 233.4 Å³ per cell
- ΔE_f: 231 meV/atom

***

[5]
Computed, not measured: Fe3Pd after structural relaxation at the PBE level of DFT.

a b c (Å): 3.018 4.191 8.181
angles (deg): 90.00 90.00 90.00
Space group Cmmm (No. 65)
Asymmetric unit:
Fe 0.000 0.000 0.000 [2 per cell]
Fe 0.000 0.500 0.237 [4 per cell]
Pd 0.000 0.000 0.500 [2 per cell]

Properties
- Calculated volume: 103.5 Å³ per cell
- ΔE_f: 54 meV/atom

***

[6]
Computed, not measured: FePd4 after structural relaxation at the PBE level of DFT.

a b c (Å): 4.545 4.545 4.545
angles (deg): 90.00 90.00 90.00
Space group Pm-3m (No. 221)
Asymmetric unit:
Fe 0.000 0.000 0.000 [1 per cell]
Pd 0.000 0.000 0.500 [3 per cell]
Pd 0.500 0.500 0.500 [1 per cell]

Properties
- Energy above the most stable polymorph in this dataset: 3.97 eV per formula unit
- Calculated volume: 93.9 Å³ per cell
- ΔE_f: 801 meV/atom